1.
Compound: K3Br
Source: the Alexandria database
Functional: meta-GGA SCAN
Structure: PBEsol geometry

For the total moment, the calculation gives 0.210 μB per cell. The value obtained for the raw formation energy is -924 meV per atom. The calculation puts the energy above the most stable polymorph in this dataset at 0 meV/atom.

It has space group C2/m (No. 12), with a = 7.911 Å, b = 4.580 Å, c = 12.082 Å, α = 90.00°, β = 102.36° and γ = 90.00°. The inequivalent atoms are K at (0.000, 0.000, 0.000), K at (0.221, 0.000, 0.667) and Br at (0.000, 0.500, 0.500).

2.
Compound: KBr
Source: the Alexandria database
Functional: meta-GGA SCAN
Structure: PBEsol geometry

For the total moment, the calculation gives 0.001 μB per cell. The value obtained for the raw formation energy is -1879 meV per atom.

It has space group P6_3/mmc (No. 194), with a = 5.5605 Å, b = 5.5605 Å, c = 6.4817 Å, α = 90.00°, β = 90.00° and γ = 120.00°. The inequivalent atoms are K at (0.3333, 0.6667, 0.2500) and Br at (0.3333, 0.6667, 0.7500).

3.
Compound: KBr3
Source: the Alexandria database
Functional: meta-GGA SCAN
Structure: PBEsol geometry

For the total moment, the calculation gives 0.000 μB per cell. The value obtained for the raw formation energy is -963 meV per atom.

It has space group Pmmn (No. 59, origin choice 2), with a = 6.571 Å, b = 8.219 Å, c = 5.849 Å, α = 90.00°, β = 90.00° and γ = 90.00°. The inequivalent atoms are K at (0.250, 0.250, 0.242), Br at (0.250, 0.063, 0.742) and Br at (0.250, 0.750, 0.740).

4.
Compound: K2Br3
Source: the Alexandria database
Functional: meta-GGA SCAN
Structure: PBEsol geometry

For the total moment, the calculation gives 0.000 μB per cell. The value obtained for the raw formation energy is -1332 meV per atom. The calculation puts the energy above the most stable polymorph in this dataset at 31 meV/atom.

It has space group R-3m (No. 166, hexagonal axes), with a = 5.0876 Å, b = 5.0876 Å, c = 23.0228 Å, α = 90.00°, β = 90.00° and γ = 120.00°. The inequivalent atoms are K at (0.0000, 0.0000, 0.0892), Br at (0.0000, 0.0000, 0.3288) and Br at (0.0000, 0.0000, 0.5000).